Entry 1:
A plane-wave DFT calculation with PBE was carried out for a relaxed structure of KAl2Ga2.

crystal system: tetragonal
space-group type: I4/mmm, No. 139
distance to the lowest polymorph of the same formula: 0 meV/atom

The structure in POSCAR format:
```
KAl2Ga2
1.0
4.353 0.000 0.000
0.000 4.353 0.000
2.177 2.177 5.767
Ga Al K
2 2 1
Direct
0.613 0.613 0.773
0.387 0.387 0.227
0.250 0.750 0.500
0.750 0.250 0.500
0.000 0.000 0.000
```

Entry 2:
A plane-wave DFT calculation with PBE was carried out for a relaxed structure of K5AlGa6.

crystal system: monoclinic
space-group type: C2/m, No. 12
energy: -2.336 eV per atom

The structure in POSCAR format:
```
K5AlGa6
1.0
8.049 0.557 1.683
2.553 5.840 3.634
0.103 -0.826 8.667
Ga K Al
6 5 1
Direct
0.823 0.932 0.279
0.177 0.068 0.721
0.320 0.039 0.000
0.822 0.211 0.721
0.178 0.789 0.279
0.680 0.961 0.000
0.500 0.772 0.456
0.000 0.643 0.715
0.000 0.357 0.285
0.500 0.500 0.000
0.500 0.228 0.544
0.000 0.000 0.000
```

Entry 3:
A plane-wave DFT calculation with PBE was carried out for a relaxed structure of KAlGa.

crystal system: monoclinic
space-group type: P2_1/m, No. 11
distance to the lowest polymorph of the same formula: 0 meV/atom

The structure in POSCAR format:
```
KAlGa
1.0
-3.707 -2.279 -0.229
1.393 -2.617 3.488
-3.501 5.122 5.711
Ga Al K
2 2 2
Direct
0.312 0.285 0.413
0.812 0.873 0.761
0.312 0.779 0.578
0.812 0.379 0.595
0.312 0.333 0.930
0.812 0.825 0.243
```

Entry 4:
A plane-wave DFT calculation with PBE was carried out for a relaxed structure of KAl2Ga2.

crystal system: tetragonal
space-group type: P4/mbm, No. 127
distance to the lowest polymorph of the same formula: 153 meV/atom

The structure in POSCAR format:
```
KAl2Ga2
1.0
8.481 0.000 0.000
0.000 8.481 0.000
0.000 0.000 2.953
Al Ga K
4 4 2
Direct
0.862 0.362 0.500
0.638 0.862 0.500
0.138 0.638 0.500
0.362 0.138 0.500
0.648 0.148 0.000
0.352 0.852 0.000
0.148 0.352 0.000
0.852 0.648 0.000
0.500 0.500 0.000
0.000 0.000 0.000
```

Entry 5:
A plane-wave DFT calculation with PBE was carried out for a relaxed structure of KAl2Ga2.

crystal system: tetragonal
space-group type: P4/mbm, No. 127
distance to the lowest polymorph of the same formula: 155 meV/atom

The structure in POSCAR format:
```
KAl2Ga2
1.0
-7.967 -2.776 -0.292
2.053 -6.425 5.077
-0.664 1.658 2.366
Ga Al K
4 4 2
Direct
0.842 0.342 0.500
0.658 0.842 0.500
0.342 0.158 0.500
0.158 0.658 0.500
0.630 0.130 0.000
0.870 0.630 0.000
0.370 0.870 0.000
0.130 0.370 0.000
0.000 0.000 0.000
0.500 0.500 0.000
```

Entry 6:
A plane-wave DFT calculation with PBE was carried out for a relaxed structure of KAl2Ga8.

crystal system: tetragonal
space-group type: P4/mmm, No. 123
energy: -2.866 eV per atom

The structure in POSCAR format:
```
KAl2Ga8
1.0
-3.288 -3.780 1.884
4.199 -3.181 0.948
0.861 3.938 9.401
Ga K Al
8 1 2
Direct
0.249 0.249 0.198
0.751 0.751 0.198
0.249 0.751 0.198
0.751 0.751 0.802
0.751 0.249 0.198
0.751 0.249 0.802
0.249 0.751 0.802
0.249 0.249 0.802
0.500 0.500 0.500
0.000 0.500 0.000
0.500 0.000 0.000
```

Entry 7:
A plane-wave DFT calculation with PBE was carried out for a relaxed structure of KAl3Ga3.

crystal system: hexagonal
space-group type: P6_3/m, No. 176
distance to the lowest polymorph of the same formula: 0 meV/atom

The structure in POSCAR format:
```
KAl3Ga3
1.0
-1.925 -1.567 -1.532
3.516 -9.164 4.957
-8.232 5.816 4.396
Ga Al K
6 6 2
Direct
0.250 0.390 0.402
0.750 0.610 0.598
0.750 0.988 0.390
0.750 0.402 0.012
0.250 0.598 0.988
0.250 0.012 0.610
0.250 0.151 0.895
0.250 0.105 0.256
0.750 0.895 0.744
0.750 0.849 0.105
0.250 0.744 0.849
0.750 0.256 0.151
0.250 0.667 0.333
0.750 0.333 0.667
```

Entry 8:
A plane-wave DFT calculation with PBE was carried out for a relaxed structure of KLaAl2Ga.

crystal system: tetragonal
space-group type: P4/mmm, No. 123
energy: -2.401 eV per atom

The structure in POSCAR format:
```
KLaAl2Ga
1.0
5.651 0.000 0.000
0.000 5.579 0.000
0.000 0.000 5.651
Al Ga K La
2 1 1 1
Direct
0.500 0.000 0.000
0.000 0.000 0.500
0.000 0.500 0.000
0.000 0.000 0.000
0.500 0.500 0.500
```

Entry 9:
A plane-wave DFT calculation with PBE was carried out for a relaxed structure of KMgAl2Ga.

crystal system: tetragonal
space-group type: P4/mmm, No. 123
energy: -1.256 eV per atom

The structure in POSCAR format:
```
KMgAl2Ga
1.0
5.823 0.000 0.000
0.000 5.910 0.000
0.000 0.000 5.823
K Ga Al Mg
1 1 2 1
Direct
0.000 0.000 0.000
0.500 0.500 0.500
0.000 0.000 0.500
0.500 0.000 0.000
0.000 0.500 0.000
```

Entry 10:
A plane-wave DFT calculation with PBE was carried out for a relaxed structure of K3AlGa2O6.

crystal system: trigonal
space-group type: P-3m1, No. 164
formation energy without anion corrections: -1.770 eV per atom

The structure in POSCAR format:
```
K3AlGa2O6
1.0
-2.822 -4.792 -1.522
4.187 2.075 -3.377
4.585 -3.770 3.368
Ga O Al K
2 6 1 3
Direct
0.667 0.333 0.663
0.333 0.667 0.337
0.155 0.311 0.320
0.311 0.155 0.680
0.845 0.689 0.680
0.155 0.845 0.320
0.689 0.845 0.320
0.845 0.155 0.680
0.000 0.000 0.500
0.333 0.667 0.772
0.667 0.333 0.228
0.000 0.000 0.000
```

Entry 11:
A plane-wave DFT calculation with PBE was carried out for a relaxed structure of K2AlGaO4.

crystal system: orthorhombic
space-group type: Fddd, No. 70
formation energy without anion corrections: -2.029 eV per atom

The structure in POSCAR format:
```
K2AlGaO4
1.0
-0.115 4.206 2.750
-1.331 -1.103 6.227
9.535 1.138 3.255
O Al K Ga
8 2 4 2
Direct
0.273 0.832 0.091
0.554 0.332 0.591
0.895 0.832 0.909
0.855 0.668 0.591
0.477 0.668 0.409
0.636 0.168 0.091
0.114 0.332 0.409
0.196 0.168 0.909
0.750 0.500 0.500
0.000 0.000 0.000
0.926 0.500 0.148
0.176 0.000 0.648
0.824 0.000 0.352
0.574 0.500 0.852
0.250 0.500 0.500
0.500 0.000 0.000
```

Entry 12:
A plane-wave DFT calculation with PBE was carried out for a relaxed structure of KAlGa2Os.

crystal system: tetragonal
space-group type: P4/mmm, No. 123
energy: -4.642 eV per atom

The structure in POSCAR format:
```
KAlGa2Os
1.0
-3.097 -0.715 -3.724
3.617 -2.000 -2.624
-1.126 -4.364 1.774
Al Ga Os K
1 2 1 1
Direct
0.000 0.000 0.500
0.500 0.000 0.000
0.000 0.500 0.000
0.000 0.000 0.000
0.500 0.500 0.500
```

Entry 13:
A plane-wave DFT calculation with PBE was carried out for a relaxed structure of K2AlGaS4.

crystal system: tetragonal
space-group type: I-4, No. 82
formation energy without anion corrections: -1.137 eV per atom

The structure in POSCAR format:
```
K2AlGaS4
1.0
-6.554 -1.989 -0.948
0.126 -3.302 6.073
1.835 6.245 -0.577
S Al Ga K
4 1 1 2
Direct
0.015 0.115 0.728
0.357 0.759 0.216
0.713 0.613 0.728
0.859 0.457 0.216
0.986 0.486 0.972
0.736 0.736 0.472
0.486 0.986 0.971
0.236 0.236 0.471
```

Entry 14:
A plane-wave DFT calculation with PBE was carried out for a relaxed structure of KSrAlGa2.

crystal system: tetragonal
space-group type: P4/mmm, No. 123
energy: -1.862 eV per atom

The structure in POSCAR format:
```
KSrAlGa2
1.0
-0.094 -3.465 -4.866
2.886 -4.397 3.076
-5.261 -2.257 1.709
Ga Al K Sr
2 1 1 1
Direct
0.500 0.000 0.000
0.000 0.000 0.500
0.000 0.500 0.000
0.500 0.500 0.500
0.000 0.000 0.000
```

Entry 15:
A plane-wave DFT calculation with PBE was carried out for a relaxed structure of KAlGa2Tc.

crystal system: tetragonal
space-group type: P4/mmm, No. 123
energy: -4.374 eV per atom

The structure in POSCAR format:
```
KAlGa2Tc
1.0
-0.829 3.710 3.137
-3.575 -2.621 2.156
3.241 -1.883 3.084
Tc Ga K Al
1 2 1 1
Direct
0.000 0.000 0.000
0.500 0.000 0.000
0.000 0.500 0.000
0.500 0.500 0.500
0.000 0.000 0.500
```

Entry 16:
A plane-wave DFT calculation with PBE was carried out for a relaxed structure of KAl2ZnGa4.

crystal system: trigonal
space-group type: R-3m, No. 166
energy: -2.743 eV per atom

The structure in POSCAR format:
```
KAl2ZnGa4
1.0
-4.535 -0.737 0.454
-1.853 -0.472 4.202
-3.658 9.262 1.963
Ga Zn Al K
4 1 2 1
Direct
0.411 0.411 0.767
0.589 0.589 0.233
0.870 0.870 0.391
0.130 0.130 0.609
0.500 0.500 0.500
0.227 0.227 0.319
0.773 0.773 0.681
0.000 0.000 0.000
```

Entry 17:
A plane-wave DFT calculation with PBE was carried out for a relaxed structure of La6AlGa2.

crystal system: orthorhombic
space-group type: Immm, No. 71
distance to the lowest polymorph of the same formula: 0 meV/atom

The structure in POSCAR format:
```
La6AlGa2
1.0
8.487 -0.016 -3.116
-4.489 7.427 -2.536
-0.112 0.016 9.041
La Ga Al
12 4 2
Direct
0.292 0.622 0.330
0.195 0.749 0.943
0.805 0.251 0.057
0.552 0.727 0.824
0.195 0.251 0.446
0.903 0.727 0.176
0.097 0.273 0.824
0.708 0.378 0.670
0.448 0.273 0.176
0.805 0.749 0.554
0.292 0.963 0.670
0.708 0.037 0.330
0.654 0.000 0.654
0.346 0.000 0.346
0.500 0.379 0.879
0.500 0.621 0.121
0.000 0.000 0.000
0.000 0.500 0.500
```

Entry 18:
A plane-wave DFT calculation with PBE was carried out for a relaxed structure of La4AlGa3.

crystal system: orthorhombic
space-group type: Pmm2, No. 25
energy: -4.605 eV per atom

The structure in POSCAR format:
```
La4AlGa3
1.0
-4.268 1.119 1.211
-0.692 -4.022 1.279
3.722 2.730 10.598
Ga La Al
3 4 1
Direct
0.000 0.500 0.569
0.500 0.000 0.931
0.000 0.000 0.434
0.500 0.000 0.641
0.000 0.500 0.856
0.500 0.500 0.361
0.000 0.000 0.144
0.500 0.500 0.064
```

Entry 19:
A plane-wave DFT calculation with PBE was carried out for a relaxed structure of La2Al2Ga.

crystal system: tetragonal
space-group type: P4/mbm, No. 127
distance to the lowest polymorph of the same formula: 82 meV/atom

The structure in POSCAR format:
```
La2Al2Ga
1.0
-0.484 -7.163 -0.386
-0.174 -0.375 7.178
-4.933 0.339 -0.102
Al La Ga
4 4 2
Direct
0.868 0.632 0.000
0.368 0.868 0.000
0.632 0.132 0.000
0.132 0.368 0.000
0.171 0.671 0.500
0.671 0.829 0.500
0.829 0.329 0.500
0.329 0.171 0.500
0.000 0.000 0.000
0.500 0.500 0.000
```

Entry 20:
A plane-wave DFT calculation with PBE was carried out for a relaxed structure of La6AlGa.

crystal system: monoclinic
space-group type: C2/m, No. 12
energy: -4.751 eV per atom

The structure in POSCAR format:
```
La6AlGa
1.0
5.106 0.006 1.537
-0.457 5.086 1.537
-0.150 -0.164 9.737
La Ga Al
6 1 1
Direct
0.105 0.605 0.791
0.895 0.395 0.209
0.752 0.752 0.496
0.395 0.895 0.209
0.248 0.248 0.504
0.605 0.105 0.791
0.500 0.500 0.000
0.000 0.000 0.000
```